Entry 1:
VASP calculation (PBE) on crystalline KLi2CrCl6 at its relaxed geometry.

a b c (Å): 13.7545 12.0355 7.7411
angles (deg): 90.00 112.85 90.00
Last column: nearest neighbours and their distance in Å.
Space group C2/c (No. 15)
Symmetry-distinct sites (fractional):
K  0.0000  0.1447  0.2500  6 Cl 3.13-3.36
Li  0.0819  0.4358  0.1543  4 Cl 2.37-2.48
Cr  0.0000  0.2084  0.7500  4 Cl 2.21-2.26
Cl  0.1049  0.0944  0.6798  1 Cr 2.21
Cl  0.1075  0.4156  0.4761  3 Li 2.37-2.41
Cl  0.1231  0.2598  0.0307  1 Cr 2.26, 1 Li 2.48

Values from the calculation:
Raw total energy, eV per atom: -4.01
Spin magnetization, μB per formula unit: 3.00
Formation energy without anion corrections, eV/atom: -1.45



Entry 2:
VASP calculation (PBE) on crystalline KLi2CrCl8 at its relaxed geometry.

a b c (Å): 5.3513 6.1365 8.8354
angles (deg): 89.93 89.59 88.95
Last column: nearest neighbours and their distance in Å.
Space group P-1 (No. 2)
Symmetry-distinct sites (fractional):
K  0.0000  0.0000  0.0000  8 Cl 3.16-3.40
Li  0.4994  0.4991  0.6924  4 Cl 2.50-2.51
Cr  0.0000  0.0000  0.5000  6 Cl 2.32-2.33
Cl  0.2342  0.3158  0.5004  1 Cr 2.33, 2 Li 2.50
Cl  0.2424  0.8456  0.6898  1 Cr 2.32, 1 Li 2.51
Cl  0.2457  0.8475  0.3088  1 Cr 2.32, 1 Li 2.51
Cl  0.2546  0.4877  0.9997  2 Cl 2.63-2.73

Values from the calculation:
Raw total energy, eV per atom: -3.66
Spin magnetization, μB per formula unit: 2.21
Formation energy without anion corrections, eV/atom: -1.21



Entry 3:
VASP calculation (PBE) on crystalline K3Li3CrCl8 at its relaxed geometry.

a b c (Å): 13.4530 7.7592 8.3909
angles (deg): 90.00 122.29 90.00
Last column: nearest neighbours and their distance in Å.
Space group C2/m (No. 12)
Symmetry-distinct sites (fractional):
K  0.0000  0.0000  0.0000  6 Cl 3.09
K  0.2500  0.2500  0.0000  6 Cl 3.09
Li  0.0000  0.5000  0.5000  6 Cl 2.66
Li  0.2500  0.2500  0.5000  6 Cl 2.65-2.67
Cr  0.0000  0.0000  0.5000  6 Cl 2.55
Cl  0.0155  0.2401  0.3070  1 Cr 2.55, 2 Li 2.66-2.67
Cl  0.2241  0.0000  0.6927  1 Cr 2.55, 2 Li 2.66
Cl  0.2335  0.5000  0.6998  3 Li 2.65-2.66

Values from the calculation:
Raw total energy, eV per atom: -3.87
Spin magnetization, μB per formula unit: 4.00
Formation energy without anion corrections, eV/atom: -1.65



Entry 4:
VASP calculation (PBE) on crystalline K2MgCrCl6 at its relaxed geometry.

a b c (Å): 7.0820 10.0131 7.0814
angles (deg): 90.00 90.00 90.00
Last column: nearest neighbours and their distance in Å.
Space group Pmmn (No. 59, origin choice 2)
Symmetry-distinct sites (fractional):
K  0.2500  0.0002  0.2501  12 Cl 3.54
Mg  0.2500  0.2500  0.7505  6 Cl 2.51-2.52
Cr  0.2500  0.7500  0.7496  6 Cl 2.49
Cl  0.0013  0.7500  0.5007  1 Cr 2.49, 1 Mg 2.52
Cl  0.0011  0.7500  0.9984  1 Cr 2.49, 1 Mg 2.51
Cl  0.2500  0.5012  0.7497  1 Cr 2.49, 1 Mg 2.51

Values from the calculation:
Raw total energy, eV per atom: -4.04
Spin magnetization, μB per formula unit: 4.00
Formation energy without anion corrections, eV/atom: -1.60



Entry 5:
VASP calculation (PBE) on crystalline KMg2CrCl8 at its relaxed geometry.

a b c (Å): 6.2316 6.2317 8.5440
angles (deg): 77.99 78.09 76.29
Last column: nearest neighbours and their distance in Å.
Space group P-1 (No. 2)
Symmetry-distinct sites (fractional):
K  0.0000  0.0000  0.0000  6 Cl 3.12-3.28
Mg  0.4425  0.4418  0.2293  5 Cl 2.40-2.58
Cr  0.0000  0.0000  0.5000  6 Cl 2.36-2.39
Cl  0.1824  0.7456  0.7053  1 Cr 2.39, 1 Mg 2.47
Cl  0.2461  0.2435  0.4770  1 Cr 2.36, 1 Mg 2.46
Cl  0.2525  0.8158  0.2954  1 Cr 2.39, 1 Mg 2.47
Cl  0.3342  0.3309  0.0091  2 Mg 2.40-2.58

Values from the calculation:
Raw total energy, eV per atom: -3.93
Spin magnetization, μB per formula unit: 3.00
Formation energy without anion corrections, eV/atom: -1.54



Entry 6:
VASP calculation (PBE) on crystalline KMgCr2Cl8 at its relaxed geometry.

a b c (Å): 5.9245 6.1117 9.3344
angles (deg): 85.97 84.99 82.48
Last column: nearest neighbours and their distance in Å.
Space group P-1 (No. 2)
Symmetry-distinct sites (fractional):
K  0.0000  0.0000  0.0000  6 Cl 3.08-3.31
Mg  0.0000  0.0000  0.5000  4 Cl 2.45-2.46
Cr  0.4685  0.4770  0.6827  5 Cl 2.27-2.43
Cl  0.2191  0.8116  0.6943  1 Cr 2.36, 1 Mg 2.45
Cl  0.2438  0.8286  0.3001  1 Cr 2.36, 1 Mg 2.46
Cl  0.2823  0.3403  0.4916  2 Cr 2.41-2.43
Cl  0.3045  0.3625  0.8989  1 Cr 2.27

Values from the calculation:
Raw total energy, eV per atom: -4.37
Spin magnetization, μB per formula unit: 7.00
Formation energy without anion corrections, eV/atom: -1.31



Entry 7:
VASP calculation (PBE) on crystalline KMnCrCl6 at its relaxed geometry.

a b c (Å): 6.4276 6.4276 13.9209
angles (deg): 90.00 90.00 120.00
Last column: nearest neighbours and their distance in Å.
Space group P-31c (No. 163)
Symmetry-distinct sites (fractional):
K  0.0000  0.0000  0.0000  6 Cl 3.18
Mn  0.3333  0.6667  0.2500  6 Cl 2.54
Cr  0.3333  0.6667  0.7500  6 Cl 2.37
Cl  0.0196  0.3808  0.6513  1 Cr 2.37, 1 Mn 2.54

Values from the calculation:
Raw total energy, eV per atom: -4.75
Spin magnetization, μB per formula unit: 8.00
Formation energy without anion corrections, eV/atom: -1.31



Entry 8:
VASP calculation (PBE) on crystalline KMnCrCl5 at its relaxed geometry.

a b c (Å): 8.9731 11.6692 8.8619
angles (deg): 90.00 108.50 90.00
Last column: nearest neighbours and their distance in Å.
Space group C2/c (No. 15)
Symmetry-distinct sites (fractional):
K  0.0000  0.1400  0.2500  7 Cl 3.23-3.56
Mn  0.0000  0.1996  0.7500  4 Cl 2.33-2.39
Cr  0.0000  0.5000  0.0000  4 Cl 2.39-2.41
Cl  0.0000  0.4240  0.2500  2 Cr 2.39
Cl  0.1247  0.3222  0.6105  1 Mn 2.39, 1 Cr 2.41
Cl  0.1706  0.0855  0.9454  1 Mn 2.33

Values from the calculation:
Raw total energy, eV per atom: -4.88
Spin magnetization, μB per formula unit: 9.00
Formation energy without anion corrections, eV/atom: -1.24



Entry 9:
VASP calculation (PBE) on crystalline K3Mn2CrCl9 at its relaxed geometry.

a b c (Å): 7.1106 7.1106 8.7144
angles (deg): 90.00 90.00 120.00
Last column: nearest neighbours and their distance in Å.
Space group P-3m1 (No. 164)
Symmetry-distinct sites (fractional):
K  0.0000  0.0000  0.0000  12 Cl 3.56
K  0.3333  0.6667  0.6655  12 Cl 3.54-3.56
Mn  0.3333  0.6667  0.1693  6 Cl 2.50-2.53
Cr  0.0000  0.0000  0.5000  6 Cl 2.51
Cl  0.0000  0.5000  0.0000  2 Mn 2.53
Cl  0.1668  0.3336  0.3343  1 Mn 2.50, 1 Cr 2.51

Values from the calculation:
Raw total energy, eV per atom: -4.59
Spin magnetization, μB per formula unit: 14.04
Formation energy without anion corrections, eV/atom: -1.40



Entry 10:
VASP calculation (PBE) on crystalline K2MnCrCl6 at its relaxed geometry.

a b c (Å): 6.8843 6.8843 10.7220
angles (deg): 90.00 90.00 90.00
Last column: nearest neighbours and their distance in Å.
Space group I4/m (No. 87)
Symmetry-distinct sites (fractional):
K  0.0000  0.5000  0.2500  8 Cl 3.28-3.45
Mn  0.0000  0.0000  0.0000  6 Cl 2.44-2.59
Cr  0.0000  0.0000  0.5000  4 Cl 2.40
Cl  0.0000  0.0000  0.2278  1 Mn 2.44
Cl  0.1843  0.2960  0.5000  1 Cr 2.40, 1 Mn 2.59

Values from the calculation:
Raw total energy, eV per atom: -4.60
Spin magnetization, μB per formula unit: 9.00
Formation energy without anion corrections, eV/atom: -1.39



Entry 11:
VASP calculation (PBE) on crystalline KCr2MoCl at its relaxed geometry.

a b c (Å): 4.8837 4.8837 5.3823
angles (deg): 90.00 90.00 90.00
Last column: nearest neighbours and their distance in Å.
Space group P4/mmm (No. 123)
Symmetry-distinct sites (fractional):
K  0.0000  0.0000  0.0000  2 Cl 2.69
Cr  0.0000  0.5000  0.5000  2 Cl 2.44
Mo  0.5000  0.5000  0.0000  4 K 3.45, 8 Cr 3.63
Cl  0.0000  0.0000  0.5000  4 Cr 2.44, 2 K 2.69

Values from the calculation:
Raw total energy, eV per atom: -5.34
Spin magnetization, μB per formula unit: 4.47
Formation energy without anion corrections, eV/atom: 1.26



Entry 12:
VASP calculation (PBE) on crystalline K3Na3CrCl8 at its relaxed geometry.

a b c (Å): 14.2953 8.2446 8.6010
angles (deg): 90.00 123.67 90.00
Last column: nearest neighbours and their distance in Å.
Space group C2/m (No. 12)
Symmetry-distinct sites (fractional):
K  0.0000  0.0000  0.0000  6 Cl 3.11-3.13
K  0.2500  0.2500  0.0000  6 Cl 3.11-3.12
Na  0.0000  0.5000  0.5000  6 Cl 2.86-2.89
Na  0.2500  0.2500  0.5000  6 Cl 2.85-2.89
Cr  0.0000  0.0000  0.5000  6 Cl 2.56
Cl  0.0080  0.2234  0.3008  1 Cr 2.56
Cl  0.2153  0.0000  0.6992  1 Cr 2.56
Cl  0.2402  0.5000  0.7202  3 Na 2.85-2.86, 3 K 3.11

Values from the calculation:
Raw total energy, eV per atom: -3.78
Spin magnetization, μB per formula unit: 4.00
Formation energy without anion corrections, eV/atom: -1.67